Crystalline CsCa2B2S6 at its relaxed geometry. Source: Alexandria via LeMat-Bulk, functional GGA-PBE.

The calculation puts the total magnetization at 0.0 μB/cell. The volume comes out at 315.3 Å³ per cell. The value obtained for the formation energy (no corrections) is -1.021 eV/atom.

The structure belongs to space group P-1 (No. 2); the cell edges are 7.236, 7.468 and 7.468 Å and the angles 113.26°, 90.13° and 118.87°. The inequivalent atoms are Cs at (0.000, 0.000, 0.000), Ca at (0.330, 0.661, 0.684), B at (0.353, 0.704, 0.267), S at (0.107, 0.644, 0.354), S at (0.427, 0.852, 0.112) and S at (0.459, 0.352, 0.643).

=====

Crystalline InBr2Cl at its relaxed geometry. Source: Alexandria via LeMat-Bulk, functional GGA-PBE.

The calculation puts the total magnetization at 0.0 μB/cell. The volume comes out at 254.0 Å³ per cell. The value obtained for the formation energy (no corrections) is -0.539 eV/atom.

The structure belongs to space group Immm (No. 71); the cell edges are 3.587, 5.290 and 13.384 Å and the angles 90.00°, 90.00° and 90.00°. The inequivalent atoms are In at (0.000, 0.000, 0.000), Br at (0.000, 0.500, 0.349) and Cl at (0.000, 0.000, 0.500).

=====

Crystalline CeEr3Tl3 at its relaxed geometry. Source: Alexandria via LeMat-Bulk, functional GGA-PBE.

The value obtained for the total energy is -4.00 eV/atom. The calculation puts the total magnetization at 2.5 μB/cell. The volume comes out at 402.7 Å³ per cell.

The structure belongs to space group P6_3/m (No. 176); the cell edges are 9.3948, 9.3948 and 5.2687 Å and the angles 90.00°, 90.00° and 120.00°. The inequivalent atoms are Ce at (0.3333, 0.6667, 0.2500), Er at (0.0021, 0.2306, 0.2500) and Tl at (0.0746, 0.4493, 0.7500).

=====

Crystalline La2Cu5Au12 at its relaxed geometry. Source: Alexandria via LeMat-Bulk, functional GGA-PBE.

The value obtained for the total energy is -3.96 eV/atom. The calculation puts the total magnetization at 0.0 μB/cell. The volume comes out at 1069.5 Å³ per cell.

The structure belongs to space group R-3m (No. 166, hexagonal axes); the cell edges are 9.3490, 9.3490 and 14.1288 Å and the angles 90.00°, 90.00° and 120.00°. The inequivalent atoms are La at (0.0000, 0.0000, 0.1589), Cu at (0.0000, 0.0000, 0.4059), Cu at (0.0000, 0.5000, 0.0000), Au at (0.0000, 0.3014, 0.5000) and Au at (0.0198, 0.5099, 0.3467).

=====

Crystalline ZrMn2Os at its relaxed geometry. Source: Alexandria via LeMat-Bulk, functional GGA-PBE.

The value obtained for the total energy is -9.19 eV/atom. The calculation puts the total magnetization at 16.0 μB/cell. The volume comes out at 186.6 Å³ per cell.

The structure belongs to space group R-3m (No. 166, hexagonal axes); the cell edges are 2.8237, 2.8237 and 27.0298 Å and the angles 90.00°, 90.00° and 120.00°. The inequivalent atoms are Zr at (0.0000, 0.0000, 0.0000), Mn at (0.0000, 0.0000, 0.2427) and Os at (0.0000, 0.0000, 0.5000).

=====

Crystalline Cs3Cd2O2F3 at its relaxed geometry. Source: Alexandria via LeMat-Bulk, functional GGA-PBE.

The calculation puts the total magnetization at 0.0 μB/cell. The volume comes out at 461.9 Å³ per cell. The value obtained for the formation energy (no corrections) is -1.940 eV/atom.

The structure belongs to space group I4/mmm (No. 139); the cell edges are 4.385, 4.385 and 24.018 Å and the angles 90.00°, 90.00° and 90.00°. The inequivalent atoms are Cs at (0.000, 0.000, 0.000), Cs at (0.000, 0.000, 0.372), Cd at (0.000, 0.000, 0.224), O at (0.000, 0.500, 0.250), F at (0.000, 0.000, 0.125) and F at (0.000, 0.000, 0.500).

=====

Crystalline Li4SiAu at its relaxed geometry. Source: Alexandria via LeMat-Bulk, functional GGA-PBE.

The calculation puts the total magnetization at 3.0 μB/cell. The volume comes out at 330.7 Å³ per cell. The value obtained for the formation energy (no corrections) is -0.085 eV/atom.

The structure belongs to space group F-43m (No. 216); the cell edges are 6.916, 6.916 and 6.916 Å and the angles 90.00°, 90.00° and 90.00°. The inequivalent atoms are Li at (0.125, 0.125, 0.125), Si at (0.250, 0.250, 0.750) and Au at (0.000, 0.000, 0.500).

=====

Crystalline InSiAg2 at its relaxed geometry. Source: Alexandria via LeMat-Bulk, functional GGA-PBE.

The calculation puts the total magnetization at 0.0 μB/cell. The volume comes out at 153.1 Å³ per cell. The value obtained for the formation energy (no corrections) is 0.218 eV/atom.

The structure belongs to space group Cm (No. 8); the cell edges are 9.798, 3.231 and 4.873 Å and the angles 90.00°, 97.02° and 90.00°. The inequivalent atoms are In at (0.000, 0.000, 0.000), Si at (0.244, 0.000, 0.719), Ag at (0.251, 0.500, 0.255) and Ag at (0.497, 0.000, 0.503).

=====

Crystalline Cs2PmUSe4 at its relaxed geometry. Source: Alexandria via LeMat-Bulk, functional GGA-PBE.

The calculation puts the total magnetization at 3.0 μB/cell. The volume comes out at 273.5 Å³ per cell. The value obtained for the formation energy (no corrections) is -1.454 eV/atom.

The structure belongs to space group P2/m (No. 10); the cell edges are 7.500, 4.335 and 8.777 Å and the angles 90.00°, 106.58° and 90.00°. The inequivalent atoms are Cs at (0.000, 0.000, 0.000), Cs at (0.500, 0.500, 0.000), Pm at (0.000, 0.500, 0.500), U at (0.500, 0.000, 0.500), Se at (0.234, 0.000, 0.690) and Se at (0.276, 0.500, 0.313).

=====

Crystalline Hf5Ti5Sb6 at its relaxed geometry. Source: Alexandria via LeMat-Bulk, functional GGA-PBE.

The calculation puts the total magnetization at 5.1 μB/cell. The volume comes out at 674.5 Å³ per cell. The value obtained for the formation energy (no corrections) is -0.392 eV/atom.

The structure belongs to space group Amm2 (No. 38); the cell edges are 5.680, 14.541 and 8.166 Å and the angles 90.00°, 90.00° and 90.00°. The inequivalent atoms are Hf at (0.000, 0.000, 0.000), Hf at (0.252, 0.165, 0.258), Ti at (0.000, 0.132, 0.628), Ti at (0.500, 0.000, 0.488), Ti at (0.500, 0.140, 0.901), Sb at (0.000, 0.000, 0.383), Sb at (0.000, 0.194, 0.947), Sb at (0.500, 0.000, 0.129) and Sb at (0.500, 0.185, 0.576).

=====

Crystalline BaCdNi2 at its relaxed geometry. Source: Alexandria via LeMat-Bulk, functional GGA-PBE.

The value obtained for the total energy is -3.44 eV/atom. The calculation puts the total magnetization at 0.3 μB/cell. The volume comes out at 419.5 Å³ per cell.

The structure belongs to space group I4_1/amd (No. 141, origin choice 2); the cell edges are 4.865, 4.865 and 17.726 Å and the angles 90.00°, 90.00° and 90.00°. The inequivalent atoms are Ba at (0.000, 0.250, 0.375), Cd at (0.000, 0.250, 0.875) and Ni at (0.000, 0.000, 0.000).

=====

Crystalline KAcPtO6 at its relaxed geometry. Source: Alexandria via LeMat-Bulk, functional GGA-PBE.

The calculation puts the total magnetization at 1.5 μB/cell. The volume comes out at 148.2 Å³ per cell. The value obtained for the formation energy (no corrections) is -1.110 eV/atom.

The structure belongs to space group P312 (No. 149); the cell edges are 6.0081, 6.0081 and 4.7406 Å and the angles 90.00°, 90.00° and 120.00°. The inequivalent atoms are K at (0.0000, 0.0000, 0.0000), Ac at (0.6667, 0.3333, 0.5000), Pt at (0.3333, 0.6667, 0.0000) and O at (0.0602, 0.4147, 0.2369).

=====

Crystalline KSr2TlBr8 at its relaxed geometry. Source: Alexandria via LeMat-Bulk, functional GGA-PBE.

The calculation puts the total magnetization at 0.0 μB/cell. The volume comes out at 459.6 Å³ per cell. The value obtained for the formation energy (no corrections) is -1.467 eV/atom.

The structure belongs to space group P2/m (No. 10); the cell edges are 6.873, 9.381 and 7.129 Å and the angles 90.00°, 90.42° and 90.00°. The inequivalent atoms are K at (0.000, 0.000, 0.000), Sr at (0.500, 0.255, 0.500), Tl at (0.000, 0.500, 0.000), Br at (0.236, 0.286, 0.143), Br at (0.244, 0.500, 0.660) and Br at (0.263, 0.000, 0.628).

=====

Crystalline SrMnCoAs2 at its relaxed geometry. Source: Alexandria via LeMat-Bulk, functional GGA-PBE.

The value obtained for the total energy is -6.05 eV/atom. The calculation puts the total magnetization at 3.7 μB/cell. The volume comes out at 192.3 Å³ per cell.

The structure belongs to space group I-4m2 (No. 119); the cell edges are 3.935, 3.935 and 12.415 Å and the angles 90.00°, 90.00° and 90.00°. The inequivalent atoms are Sr at (0.000, 0.000, 0.000), Mn at (0.000, 0.500, 0.750), Co at (0.000, 0.500, 0.250) and As at (0.000, 0.000, 0.360).

=====

Crystalline Cs2CeNb3O12 at its relaxed geometry. Source: Alexandria via LeMat-Bulk, functional GGA-PBE.

The calculation puts the total magnetization at 9.3 μB/cell. The volume comes out at 976.4 Å³ per cell. The value obtained for the formation energy (no corrections) is -2.241 eV/atom.

The structure belongs to space group R-3m (No. 166, hexagonal axes); the cell edges are 7.7079, 7.7079 and 18.9779 Å and the angles 90.00°, 90.00° and 120.00°. The inequivalent atoms are Cs at (0.0000, 0.0000, 0.1192), Ce at (0.0000, 0.0000, 0.5000), Nb at (0.0000, 0.5000, 0.0000), O at (0.0497, 0.5249, 0.1035) and O at (0.0880, 0.5440, 0.3447).

=====

Crystalline ZrPaH at its relaxed geometry. Source: Alexandria via LeMat-Bulk, functional GGA-PBE.

The value obtained for the total energy is -7.20 eV/atom. The calculation puts the total magnetization at 0.0 μB/cell. The volume comes out at 205.9 Å³ per cell.

The structure belongs to space group I4/mmm (No. 139); the cell edges are 3.061, 3.061 and 21.982 Å and the angles 90.00°, 90.00° and 90.00°. The inequivalent atoms are Zr at (0.000, 0.000, 0.071), Pa at (0.000, 0.000, 0.310) and H at (0.000, 0.000, 0.418).

=====

Crystalline CuRuPt2 at its relaxed geometry. Source: Alexandria via LeMat-Bulk, functional GGA-PBE.

The value obtained for the total energy is -5.95 eV/atom. The calculation puts the total magnetization at 4.2 μB/cell. The volume comes out at 254.2 Å³ per cell.

The structure belongs to space group I-42d (No. 122); the cell edges are 3.785, 3.785 and 17.747 Å and the angles 90.00°, 90.00° and 90.00°. The inequivalent atoms are Cu at (0.000, 0.000, 0.000), Ru at (0.000, 0.000, 0.500) and Pt at (0.250, 0.250, 0.125).

=====

Crystalline Tm2OsRh at its relaxed geometry. Source: Alexandria via LeMat-Bulk, functional GGA-PBE.

The value obtained for the total energy is -7.48 eV/atom. The calculation puts the total magnetization at 0.0 μB/cell. The volume comes out at 76.4 Å³ per cell.

The structure belongs to space group P4/mmm (No. 123); the cell edges are 3.369, 3.369 and 6.731 Å and the angles 90.00°, 90.00° and 90.00°. The inequivalent atoms are Tm at (0.000, 0.000, 0.245), Os at (0.500, 0.500, 0.000) and Rh at (0.500, 0.500, 0.500).

=====

Crystalline HgBiP2W at its relaxed geometry. Source: Alexandria via LeMat-Bulk, functional GGA-PBE.

The value obtained for the total energy is -3.22 eV/atom. The calculation puts the total magnetization at 0.0 μB/cell. The volume comes out at 141.7 Å³ per cell.

The structure belongs to space group P4/mmm (No. 123); the cell edges are 5.145, 5.145 and 5.352 Å and the angles 90.00°, 90.00° and 90.00°. The inequivalent atoms are Hg at (0.000, 0.000, 0.000), Bi at (0.000, 0.000, 0.500), P at (0.000, 0.500, 0.500) and W at (0.500, 0.500, 0.000).

=====

Crystalline LuAgPtRh at its relaxed geometry. Source: Alexandria via LeMat-Bulk, functional GGA-PBE.

The value obtained for the total energy is -5.79 eV/atom. The calculation puts the total magnetization at 0.0 μB/cell. The volume comes out at 282.5 Å³ per cell.

The structure belongs to space group F-43m (No. 216); the cell edges are 6.562, 6.562 and 6.562 Å and the angles 90.00°, 90.00° and 90.00°. The inequivalent atoms are Lu at (0.000, 0.000, 0.000), Ag at (0.000, 0.000, 0.500), Pt at (0.250, 0.250, 0.250) and Rh at (0.250, 0.250, 0.750).

=====

Crystalline Tl2CuPtF6 at its relaxed geometry. Source: Alexandria via LeMat-Bulk, functional GGA-PBE.

The calculation puts the total magnetization at 6.5 μB/cell. The volume comes out at 990.4 Å³ per cell. The value obtained for the formation energy (no corrections) is -1.417 eV/atom.

The structure belongs to space group R-3m (No. 166, hexagonal axes); the cell edges are 6.0324, 6.0324 and 31.4278 Å and the angles 90.00°, 90.00° and 120.00°. The inequivalent atoms are Tl at (0.0000, 0.0000, 0.1309), Tl at (0.0000, 0.0000, 0.2809), Cu at (0.0000, 0.0000, 0.4057), Pt at (0.0000, 0.0000, 0.0000), Pt at (0.0000, 0.0000, 0.5000), F at (0.0047, 0.5023, 0.7050) and F at (0.0211, 0.5106, 0.1174).

=====

Crystalline K2ZrBr at its relaxed geometry. Source: Alexandria via LeMat-Bulk, functional GGA-PBE.

The calculation puts the total magnetization at 2.5 μB/cell. The volume comes out at 144.3 Å³ per cell. The value obtained for the formation energy (no corrections) is 0.379 eV/atom.

The structure belongs to space group Pmmm (No. 47); the cell edges are 3.702, 6.095 and 6.394 Å and the angles 90.00°, 90.00° and 90.00°. The inequivalent atoms are K at (0.000, 0.000, 0.000), K at (0.500, 0.000, 0.500), Zr at (0.000, 0.500, 0.500) and Br at (0.500, 0.500, 0.000).

=====

Crystalline Zn2PPt4 at its relaxed geometry. Source: Alexandria via LeMat-Bulk, functional GGA-PBE.

The value obtained for the total energy is -4.45 eV/atom. The calculation puts the total magnetization at 0.0 μB/cell. The volume comes out at 256.7 Å³ per cell.

The structure belongs to space group I4/mmm (No. 139); the cell edges are 4.474, 4.474 and 12.823 Å and the angles 90.00°, 90.00° and 90.00°. The inequivalent atoms are Zn at (0.000, 0.000, 0.126), P at (0.000, 0.000, 0.500), Pt at (0.000, 0.000, 0.320) and Pt at (0.000, 0.500, 0.000).